{
  "formula": "Na4Pr3AsO8",
  "functional": "GGA-PBE",
  "state": "optimized geometry",
  "lattice": [[7.0583, 0.0000, 0.0000], [0.0000, 6.9567, -0.0755], [-3.5292, -3.5279, 4.9914]],
  "species": ["Pr", "Pr", "Pr", "O", "O", "O", "O", "O", "O", "O", "O", "As", "Na", "Na", "Na", "Na"],
  "fractional_positions": [[0.0000, 0.5000, 0.5000], [0.5000, 0.5000, 0.5000], [0.5000, 0.5000, 0.0000], [0.2305, 0.7167, 0.9863], [0.2600, 0.2800, 0.5199], [0.7400, 0.7200, 0.4801], [0.7695, 0.2833, 0.0137], [0.7692, 0.2830, 0.5384], [0.2308, 0.7170, 0.4616], [0.2442, 0.2833, 0.0137], [0.7558, 0.7167, 0.9863], [0.0000, 0.5000, 0.0000], [0.0000, 0.0000, 0.0000], [0.5000, 0.0000, 0.0000], [0.5000, 0.0000, 0.5000], [0.0000, 0.0000, 0.5000]],
  "magmom_total_mub_per_atom": 0.0000,
  "raw_formation_energy_ev_per_atom": -2.187
}

***

{
  "formula": "NaAs2PtO8",
  "functional": "GGA-PBE",
  "state": "optimized geometry",
  "lattice": [[-0.5084, 3.3096, 4.3744], [-1.6428, -5.2490, 0.3116], [6.2385, -1.8274, 2.1077]],
  "species": ["O", "O", "O", "O", "O", "O", "O", "O", "As", "As", "Na", "Pt"],
  "fractional_positions": [[0.6872, 0.8436, 0.8046], [0.8436, 0.6872, 0.1954], [0.8436, 0.1564, 0.1954], [0.1564, 0.3128, 0.8046], [0.3333, 0.6667, 0.4987], [0.1564, 0.8436, 0.8046], [0.6667, 0.3333, 0.5013], [0.3128, 0.1564, 0.1954], [0.3333, 0.6667, 0.7442], [0.6667, 0.3333, 0.2558], [0.0000, 0.0000, 0.5000], [0.0000, 0.0000, 0.0000]],
  "magmom_total_mub_per_atom": 0.0858,
  "raw_formation_energy_ev_per_atom": -0.834
}

***

{
  "formula": "NaAsPtO6",
  "functional": "GGA-PBE",
  "state": "optimized geometry",
  "lattice": [[5.0910, 0.0000, 0.0000], [-2.5455, 4.4090, 0.0000], [0.0000, 0.0000, 10.4445]],
  "species": ["Na", "Na", "Pt", "Pt", "O", "O", "O", "O", "O", "O", "O", "O", "O", "O", "O", "O", "As", "As"],
  "fractional_positions": [[0.0000, 0.0000, 0.0000], [0.0000, 0.0000, 0.5000], [0.6667, 0.3333, 0.7500], [0.3333, 0.6667, 0.2500], [0.6267, 0.6433, 0.6504], [0.3733, 0.3567, 0.3496], [0.0166, 0.6433, 0.8496], [0.6433, 0.6267, 0.1504], [0.6267, 0.9834, 0.8496], [0.3567, 0.9834, 0.6504], [0.9834, 0.3567, 0.1504], [0.9834, 0.6267, 0.3496], [0.6433, 0.0166, 0.3496], [0.0166, 0.3733, 0.6504], [0.3733, 0.0166, 0.1504], [0.3567, 0.3733, 0.8496], [0.6667, 0.3333, 0.2500], [0.3333, 0.6667, 0.7500]],
  "magmom_total_mub_per_atom": 0.2253,
  "raw_formation_energy_ev_per_atom": -0.900
}

***

{
  "formula": "NaPuAs2O8",
  "functional": "GGA-PBE",
  "state": "optimized geometry",
  "lattice": [[5.9560, 0.0260, 0.0000], [-2.6183, 5.3496, 0.0000], [-1.6688, -2.6878, 5.0463]],
  "species": ["O", "O", "O", "O", "O", "O", "O", "O", "As", "As", "Pu", "Na"],
  "fractional_positions": [[0.7451, 0.0665, 0.6786], [0.8567, 0.6635, 0.1932], [0.3365, 0.5297, 0.1932], [0.4703, 0.6635, 0.8068], [0.9335, 0.2549, 0.3214], [0.9335, 0.6121, 0.6786], [0.3365, 0.1433, 0.8068], [0.3879, 0.0665, 0.3214], [0.7500, 0.2500, 0.5000], [0.5000, 0.5000, 0.0000], [0.2500, 0.7500, 0.5000], [0.0000, 0.0000, 0.0000]],
  "magmom_total_mub_per_atom": 0.2500,
  "raw_formation_energy_ev_per_atom": -1.668
}

***

{
  "formula": "NaPuAsO5",
  "functional": "GGA-PBE",
  "state": "optimized geometry",
  "lattice": [[-0.8121, -1.9422, -5.6097], [5.9026, 0.9792, 0.3179], [-1.1581, -6.3365, 4.4347]],
  "species": ["Na", "Na", "O", "O", "O", "O", "O", "O", "O", "O", "O", "O", "As", "As", "Pu", "Pu"],
  "fractional_positions": [[0.3296, 0.6704, 0.2500], [0.6704, 0.3296, 0.7500], [0.8729, 0.3204, 0.1262], [0.7323, 0.6156, 0.4022], [0.3204, 0.8729, 0.6262], [0.0795, 0.9205, 0.2500], [0.9205, 0.0795, 0.7500], [0.6796, 0.1271, 0.3738], [0.6156, 0.7323, 0.9022], [0.2677, 0.3844, 0.5978], [0.3844, 0.2677, 0.0978], [0.1271, 0.6796, 0.8738], [0.6710, 0.3290, 0.2500], [0.3290, 0.6710, 0.7500], [0.0000, 0.0000, 0.0000], [0.0000, 0.0000, 0.5000]],
  "magmom_total_mub_per_atom": 0.5000,
  "raw_formation_energy_ev_per_atom": -2.091
}

***

{
  "formula": "NaPuAsO6",
  "functional": "GGA-PBE",
  "state": "optimized geometry",
  "lattice": [[-5.0083, 0.7832, 1.5503], [3.6789, -1.4234, 3.5412], [2.1054, 9.9087, 1.7956]],
  "species": ["O", "O", "O", "O", "O", "O", "O", "O", "O", "O", "O", "O", "Pu", "Pu", "Na", "Na", "As", "As"],
  "fractional_positions": [[0.6459, 0.0291, 0.3526], [0.6168, 0.9709, 0.8526], [0.0291, 0.3832, 0.6474], [0.9709, 0.6168, 0.3526], [0.3541, 0.9709, 0.6474], [0.0291, 0.6459, 0.8526], [0.3832, 0.3541, 0.3526], [0.3541, 0.3832, 0.8526], [0.3832, 0.0291, 0.1474], [0.9709, 0.3541, 0.1474], [0.6168, 0.6459, 0.6474], [0.6459, 0.6168, 0.1474], [0.6667, 0.3333, 0.7500], [0.3333, 0.6667, 0.2500], [0.0000, 0.0000, 0.0000], [0.0000, 0.0000, 0.5000], [0.3333, 0.6667, 0.7500], [0.6667, 0.3333, 0.2500]],
  "magmom_total_mub_per_atom": 0.2222,
  "raw_formation_energy_ev_per_atom": -1.793
}

***

{
  "formula": "NaPu2AsO8",
  "functional": "GGA-PBE",
  "state": "optimized geometry",
  "lattice": [[4.8913, 0.0612, -0.0031], [0.1078, 4.8895, -0.0053], [0.0044, 0.0073, 6.8674]],
  "species": ["Pu", "Pu", "O", "O", "O", "O", "O", "O", "O", "O", "Na", "As"],
  "fractional_positions": [[0.5000, 0.5000, 0.2491], [0.5000, 0.5000, 0.7509], [0.3251, 0.3246, 0.4999], [0.7880, 0.2124, 0.7701], [0.6749, 0.6754, 0.5001], [0.2992, 0.2987, 0.0000], [0.2120, 0.7876, 0.7701], [0.7880, 0.2124, 0.2299], [0.2120, 0.7876, 0.2299], [0.7008, 0.7013, 0.0000], [0.0000, 0.0000, 0.5000], [0.0000, 0.0000, 0.0000]],
  "magmom_total_mub_per_atom": 0.3329,
  "raw_formation_energy_ev_per_atom": -2.065
}

***

{
  "formula": "Rb3NaAs2O6",
  "functional": "GGA-PBE",
  "state": "optimized geometry",
  "lattice": [[-0.9245, -4.5899, 4.1603], [2.6364, -1.2757, -5.5364], [6.7281, 1.2811, 2.9086]],
  "species": ["Rb", "Rb", "Rb", "O", "O", "O", "O", "O", "O", "Na", "As", "As"],
  "fractional_positions": [[0.6667, 0.3333, 0.3329], [0.3333, 0.6667, 0.6671], [0.0000, 0.0000, 0.0000], [0.8179, 0.1821, 0.7079], [0.1821, 0.3642, 0.2921], [0.3642, 0.1821, 0.7079], [0.1821, 0.8179, 0.2921], [0.6358, 0.8179, 0.2921], [0.8179, 0.6358, 0.7079], [0.0000, 0.0000, 0.5000], [0.6667, 0.3333, 0.7834], [0.3333, 0.6667, 0.2166]],
  "magmom_total_mub_per_atom": 0.1648,
  "raw_formation_energy_ev_per_atom": -1.460
}

***

{
  "formula": "RbNa2AsO4",
  "functional": "GGA-PBE",
  "state": "optimized geometry",
  "lattice": [[-4.2516, -3.4809, 1.3274], [1.7036, 0.1278, -5.3885], [5.1339, -1.2386, 2.0157]],
  "species": ["Rb", "O", "O", "O", "O", "As", "Na", "Na"],
  "fractional_positions": [[0.0000, 0.0000, 0.0000], [0.0000, 0.5428, 0.1996], [0.0000, 0.1996, 0.5428], [0.6567, 0.4572, 0.4572], [0.3433, 0.8004, 0.8004], [0.0000, 0.5000, 0.5000], [0.5000, 0.7500, 0.2500], [0.5000, 0.2500, 0.7500]],
  "magmom_total_mub_per_atom": 0.0001,
  "raw_formation_energy_ev_per_atom": -1.700
}

***

{
  "formula": "Rb2NaAsO4",
  "functional": "GGA-PBE",
  "state": "optimized geometry",
  "lattice": [[5.5020, 0.0000, 0.0000], [2.7510, 5.9707, 0.0000], [2.7510, 0.0000, 10.7792]],
  "species": ["Rb", "Rb", "Rb", "Rb", "O", "O", "O", "O", "O", "O", "O", "O", "Na", "Na", "As", "As"],
  "fractional_positions": [[0.9290, 0.5000, 0.1421], [0.5710, 0.5000, 0.8579], [0.1790, 0.0000, 0.6421], [0.8210, 0.0000, 0.3579], [0.4784, 0.3263, 0.5881], [0.5547, 0.1737, 0.0881], [0.9334, 0.6737, 0.5881], [0.3571, 0.8263, 0.0881], [0.8166, 0.8263, 0.9119], [0.1953, 0.3263, 0.4119], [0.3929, 0.6737, 0.4119], [0.2716, 0.1737, 0.9119], [0.0000, 0.0000, 0.0000], [0.7500, 0.5000, 0.5000], [0.2500, 0.5000, 0.5000], [0.5000, 0.0000, 0.0000]],
  "magmom_total_mub_per_atom": 0.0005,
  "raw_formation_energy_ev_per_atom": -1.525
}

***

{
  "formula": "RbNaAs2O6",
  "functional": "GGA-PBE",
  "state": "optimized geometry",
  "lattice": [[-4.5084, 2.0185, 0.6584], [-0.8201, -3.4607, 7.7005], [3.2845, 7.3270, 2.7338]],
  "species": ["O", "O", "O", "O", "O", "O", "O", "O", "O", "O", "O", "O", "As", "As", "As", "As", "Na", "Na", "Rb", "Rb"],
  "fractional_positions": [[0.3680, 0.8009, 0.4436], [0.7558, 0.7681, 0.9492], [0.8680, 0.4436, 0.8009], [0.1320, 0.5564, 0.1991], [0.5614, 0.3790, 0.2951], [0.4386, 0.6210, 0.7049], [0.2442, 0.2319, 0.0508], [0.2558, 0.9492, 0.7681], [0.7442, 0.0508, 0.2319], [0.6320, 0.1991, 0.5564], [0.9386, 0.7049, 0.6210], [0.0614, 0.2951, 0.3790], [0.7349, 0.2064, 0.3680], [0.2349, 0.3680, 0.2064], [0.2651, 0.7936, 0.6320], [0.7651, 0.6320, 0.7936], [0.2500, 0.3500, 0.6500], [0.7500, 0.6500, 0.3500], [0.7500, 0.1207, 0.8793], [0.2500, 0.8793, 0.1207]],
  "magmom_total_mub_per_atom": 0.0000,
  "raw_formation_energy_ev_per_atom": -1.460
}

***

{
  "formula": "RbNaAsO2",
  "functional": "GGA-PBE",
  "state": "optimized geometry",
  "lattice": [[5.5449, 0.0000, 0.0000], [0.0000, 6.4797, 0.3829], [0.0000, -1.5178, 5.7639]],
  "species": ["Na", "Na", "Rb", "Rb", "O", "O", "O", "O", "As", "As"],
  "fractional_positions": [[0.4918, 0.0000, 0.2500], [0.5082, 0.0000, 0.7500], [0.2633, 0.5000, 0.7500], [0.7367, 0.5000, 0.2500], [0.7360, 0.1923, 0.5382], [0.7360, 0.8077, 0.9618], [0.2640, 0.1923, 0.0382], [0.2640, 0.8077, 0.4618], [0.0000, 0.0000, 0.0000], [0.0000, 0.0000, 0.5000]],
  "magmom_total_mub_per_atom": 0.0897,
  "raw_formation_energy_ev_per_atom": -0.934
}